Compound: Dy3Tl2Ag
Source: the Alexandria database
Functional: PBE
Structure: relaxed Values from VASP.

Computed properties:
Space group: No. 164
Excess energy over the best structure of this formula in the dataset (eV/atom): 0.0088

Structure (Quantum ESPRESSO input):
```
&SYSTEM
  ibrav = 0, nat = 12, ntyp = 3
/
ATOMIC_SPECIES
Dy 162.50 Dy.upf
Tl 204.38 Tl.upf
Ag 107.87 Ag.upf
ATOMIC_POSITIONS angstrom
Dy 0.0000 0.0000 3.1945
Dy 0.0000 0.0000 9.8203
Dy 0.0000 3.0559 5.3608
Dy 0.0000 3.0559 11.9445
Dy 2.6465 1.5280 1.0703
Dy 2.6465 1.5280 7.6540
Tl 0.0000 0.0000 0.0000
Tl 0.0000 0.0000 6.5074
Tl 0.0000 3.0559 8.7543
Tl 2.6465 1.5280 4.2605
Ag 0.0000 3.0559 2.1881
Ag 2.6465 1.5280 10.8268
CELL_PARAMETERS angstrom
5.2930 0.0000 0.0000
-2.6465 4.5839 0.0000
0.0000 0.0000 13.0148
```



Compound: Dy4Tl2Ag
Source: the Alexandria database
Functional: PBE
Structure: relaxed Values from VASP.

Computed properties:
Space group: No. 166
Excess energy over the best structure of this formula in the dataset (eV/atom): 0.0000

Structure (Quantum ESPRESSO input):
```
&SYSTEM
  ibrav = 0, nat = 7, ntyp = 3
/
ATOMIC_SPECIES
Dy 162.50 Dy.upf
Tl 204.38 Tl.upf
Ag 107.87 Ag.upf
ATOMIC_POSITIONS angstrom
Dy 0.0000 0.0000 3.1855
Dy 0.0000 0.0000 9.5976
Dy 0.0000 0.0000 15.9919
Dy 0.0000 0.0000 22.4041
Tl 0.0000 0.0000 6.4631
Tl 0.0000 0.0000 19.1264
Ag 0.0000 0.0000 12.7948
CELL_PARAMETERS angstrom
2.6153 1.5099 8.5298
-2.6153 1.5099 8.5298
0.0000 -3.0198 8.5298
```



Compound: DyTl2Ag
Source: the Alexandria database
Functional: PBE
Structure: relaxed Values from VASP.

Computed properties:
Space group: No. 123

Structure (Quantum ESPRESSO input):
```
&SYSTEM
  ibrav = 0, nat = 4, ntyp = 3
/
ATOMIC_SPECIES
Dy 162.50 Dy.upf
Tl 204.38 Tl.upf
Ag 107.87 Ag.upf
ATOMIC_POSITIONS angstrom
Dy 0.0000 0.0000 0.0000
Tl 1.8262 1.8262 2.0111
Tl 1.8262 1.8262 5.3848
Ag 0.0000 0.0000 3.6979
CELL_PARAMETERS angstrom
3.6524 0.0000 0.0000
0.0000 3.6524 0.0000
0.0000 0.0000 7.3958
```



Compound: Dy3Tl2Ag
Source: the Alexandria database
Functional: PBE
Structure: relaxed Values from VASP.

Computed properties:
Space group: No. 123
Excess energy over the best structure of this formula in the dataset (eV/atom): 0.0000

Structure (Quantum ESPRESSO input):
```
&SYSTEM
  ibrav = 0, nat = 6, ntyp = 3
/
ATOMIC_SPECIES
Dy 162.50 Dy.upf
Tl 204.38 Tl.upf
Ag 107.87 Ag.upf
ATOMIC_POSITIONS angstrom
Dy 0.0000 0.0000 0.0000
Dy 0.0000 0.0000 4.2026
Dy 0.0000 0.0000 7.8607
Tl 1.8046 1.8046 2.1131
Tl 1.8046 1.8046 9.9502
Ag 1.8046 1.8046 6.0317
CELL_PARAMETERS angstrom
3.6092 0.0000 0.0000
0.0000 3.6092 0.0000
0.0000 0.0000 12.0633
```



Compound: Dy3Tl4Ag2
Source: the Alexandria database
Functional: PBE
Structure: relaxed Values from VASP.

Computed properties:
Space group: No. 12

Structure (Quantum ESPRESSO input):
```
&SYSTEM
  ibrav = 0, nat = 9, ntyp = 3
/
ATOMIC_SPECIES
Dy 162.50 Dy.upf
Tl 204.38 Tl.upf
Ag 107.87 Ag.upf
ATOMIC_POSITIONS angstrom
Dy 0.0000 0.0000 0.0000
Dy 2.1923 0.0000 2.8061
Dy 4.5060 0.0000 5.3957
Tl -1.0539 0.0000 3.1556
Tl -1.1629 0.0000 7.5116
Tl 7.8611 0.0000 0.6902
Tl 7.7521 0.0000 5.0463
Ag 1.2072 0.0000 5.9625
Ag 5.4911 0.0000 2.2394
CELL_PARAMETERS angstrom
5.5683 -2.4816 0.0000
5.5683 2.4816 0.0000
-4.4383 0.0000 8.2018
```



Compound: Dy4Tl2Ag3
Source: the Alexandria database
Functional: PBE
Structure: relaxed Values from VASP.

Computed properties:
Space group: No. 12

Structure (Quantum ESPRESSO input):
```
&SYSTEM
  ibrav = 0, nat = 9, ntyp = 3
/
ATOMIC_SPECIES
Dy 162.50 Dy.upf
Tl 204.38 Tl.upf
Ag 107.87 Ag.upf
ATOMIC_POSITIONS angstrom
Dy -0.1444 0.0000 3.0911
Dy 3.3863 0.0000 0.9316
Dy 4.5122 0.0000 8.0932
Dy 8.0429 0.0000 5.9336
Tl 1.1669 0.0000 6.6841
Tl 6.7316 0.0000 2.3406
Ag 0.0000 0.0000 0.0000
Ag 2.7389 0.0000 3.8953
Ag 5.1596 0.0000 5.1294
CELL_PARAMETERS angstrom
5.0059 -2.4735 0.0000
5.0059 2.4735 0.0000
-2.1133 0.0000 9.0247
```



Compound: Dy7TlAg4
Source: the Alexandria database
Functional: PBE
Structure: relaxed Values from VASP.

Computed properties:
Space group: No. 12

Structure (Quantum ESPRESSO input):
```
&SYSTEM
  ibrav = 0, nat = 12, ntyp = 3
/
ATOMIC_SPECIES
Dy 162.50 Dy.upf
Tl 204.38 Tl.upf
Ag 107.87 Ag.upf
ATOMIC_POSITIONS angstrom
Dy 0.0000 0.0000 0.0000
Dy 0.2126 0.0000 5.2411
Dy 4.2041 0.0000 0.9373
Dy 3.5799 0.0000 4.7152
Dy 6.6732 0.0000 3.1500
Dy 6.0490 0.0000 6.9279
Dy 10.0405 0.0000 2.6240
Tl 7.2658 0.0000 0.0000
Ag -2.6586 0.0000 5.3336
Ag 1.4411 0.0000 2.5546
Ag 8.8120 0.0000 5.3106
Ag 12.9117 0.0000 2.5316
CELL_PARAMETERS angstrom
7.2658 -2.8524 0.0000
7.2658 2.8524 0.0000
-4.2785 0.0000 7.8652
```



Compound: Dy3TlAg
Source: the Alexandria database
Functional: PBE
Structure: relaxed Values from VASP.

Computed properties:
Space group: No. 63
Excess energy over the best structure of this formula in the dataset (eV/atom): 0.0000

Structure (Quantum ESPRESSO input):
```
&SYSTEM
  ibrav = 0, nat = 10, ntyp = 3
/
ATOMIC_SPECIES
Dy 162.50 Dy.upf
Tl 204.38 Tl.upf
Ag 107.87 Ag.upf
ATOMIC_POSITIONS angstrom
Dy 2.5674 9.0704 3.8540
Dy 2.5674 5.1715 3.8540
Dy 2.5674 1.2678 3.8540
Dy 2.5674 -1.2678 1.2847
Dy 2.5674 -5.1715 1.2847
Dy 2.5674 -9.0704 1.2847
Tl 2.5674 7.1060 1.2847
Tl 2.5674 -7.1060 3.8540
Ag 2.5674 3.2616 1.2847
Ag 2.5674 -3.2616 3.8540
CELL_PARAMETERS angstrom
2.5674 -10.3336 0.0000
2.5674 10.3336 0.0000
0.0000 0.0000 5.1386
```



Compound: Dy6Tl2Ag
Source: the Alexandria database
Functional: PBE
Structure: relaxed Values from VASP.

Computed properties:
Space group: No. 136

Structure (Quantum ESPRESSO input):
```
&SYSTEM
  ibrav = 0, nat = 18, ntyp = 3
/
ATOMIC_SPECIES
Dy 162.50 Dy.upf
Tl 204.38 Tl.upf
Ag 107.87 Ag.upf
ATOMIC_POSITIONS angstrom
Dy 0.2125 3.2214 0.0000
Dy 1.2274 8.7632 2.5355
Dy 1.7739 5.2078 2.5355
Dy 3.2214 0.2125 0.0000
Dy 3.7679 3.7679 0.0000
Dy 4.7829 8.2167 2.5355
Dy 5.2078 1.7739 2.5355
Dy 6.2227 6.2227 0.0000
Dy 6.7692 9.7782 0.0000
Dy 8.2167 4.7829 2.5355
Dy 8.7632 1.2274 2.5355
Dy 9.7782 6.7692 0.0000
Tl 2.0183 2.0183 2.5355
Tl 2.9770 7.0136 0.0000
Tl 7.0136 2.9770 0.0000
Tl 7.9723 7.9723 2.5355
Ag 0.0000 0.0000 0.0000
Ag 4.9953 4.9953 2.5355
CELL_PARAMETERS angstrom
9.9906 0.0000 0.0000
0.0000 9.9906 0.0000
0.0000 0.0000 5.0710
```



Compound: Dy5TlAg2
Source: the Alexandria database
Functional: PBE
Structure: relaxed Values from VASP.

Computed properties:
Space group: No. 140

Structure (Quantum ESPRESSO input):
```
&SYSTEM
  ibrav = 0, nat = 16, ntyp = 3
/
ATOMIC_SPECIES
Dy 162.50 Dy.upf
Tl 204.38 Tl.upf
Ag 107.87 Ag.upf
ATOMIC_POSITIONS angstrom
Dy 0.0000 0.0000 0.0000
Dy 5.2816 1.2492 -1.9963
Dy 1.2492 2.7833 -1.9963
Dy 5.2816 1.2492 1.9963
Dy 1.2492 2.7833 1.9963
Dy 0.0000 0.0000 6.6852
Dy 2.7833 1.2492 4.6889
Dy -1.2492 2.7833 4.6889
Dy 2.7833 1.2492 8.6815
Dy -1.2492 2.7833 8.6815
Tl 0.0000 0.0000 3.3426
Tl 0.0000 0.0000 10.0277
Ag 2.9557 1.0767 0.0000
Ag 2.9557 -1.0767 6.6852
Ag 1.0767 5.1092 0.0000
Ag 1.0767 2.9557 6.6852
CELL_PARAMETERS angstrom
-4.0325 4.0325 6.6852
4.0325 -4.0325 6.6852
4.0325 4.0325 -6.6852
```



Number 1: ΔH_f (0 K) -31.7 kJ/mol of atoms, calculated volume 26.31 Å³/atom, DFT total energy -3.89 eV per atom. Number 2: ΔH_f (0 K) -20.0 kJ/mol of atoms, calculated volume 28.87 Å³/atom, DFT total energy -3.92 eV per atom. Number 3: ΔH_f (0 K) -8.4 kJ/mol of atoms, calculated volume 24.66 Å³/atom, DFT total energy -3.13 eV per atom. Number 4: ΔH_f (0 K) -32.6 kJ/mol of atoms, calculated volume 26.19 Å³/atom, DFT total energy -3.90 eV per atom. Number 5: ΔH_f (0 K) -23.4 kJ/mol of atoms, calculated volume 25.19 Å³/atom, DFT total energy -3.46 eV per atom. Number 6: ΔH_f (0 K) -24.9 kJ/mol of atoms, calculated volume 24.83 Å³/atom, DFT total energy -3.78 eV per atom. Number 7: ΔH_f (0 K) -6.8 kJ/mol of atoms, calculated volume 27.17 Å³/atom, DFT total energy -3.90 eV per atom. Number 8: ΔH_f (0 K) -23.3 kJ/mol of atoms, calculated volume 27.27 Å³/atom, DFT total energy -4.05 eV per atom. Number 9: ΔH_f (0 K) -19.7 kJ/mol of atoms, calculated volume 28.12 Å³/atom, DFT total energy -4.12 eV per atom. Number 10: ΔH_f (0 K) -21.7 kJ/mol of atoms, calculated volume 27.18 Å³/atom, DFT total energy -4.11 eV per atom.